# 1
Here is crystalline LiCd2In2Pd4 at its relaxed geometry from Alexandria. Energies are from PBE-GGA.

Values from the calculation:
energy relative to the elements: -0.214 eV/atom

a b c (Å): 6.3318 6.3318 7.9128
angles (deg): 90.00 90.00 90.00
Space group I4/mmm (No. 139)
Unique sites:
Li  0.0000  0.0000  0.0000 (multiplicity 2)
Cd  0.0000  0.0000  0.2929 (multiplicity 4)
In  0.0000  0.5000  0.2500 (multiplicity 4)
Pd  0.2467  0.2467  0.5000 (multiplicity 8)

***

# 2
Here is crystalline LiCd4InPd2 at its relaxed geometry from Alexandria. Energies are from PBE-GGA.

Values from the calculation:
energy relative to the elements: -0.078 eV/atom

a b c (Å): 3.9813 3.9813 10.9658
angles (deg): 90.00 90.00 90.00
Space group P4/mmm (No. 123)
Unique sites:
Li  0.0000  0.0000  0.0000 (multiplicity 1)
Cd  0.0000  0.5000  0.1968 (multiplicity 4)
In  0.0000  0.0000  0.5000 (multiplicity 1)
Pd  0.5000  0.5000  0.3801 (multiplicity 2)

***

no.,DOS(E_F) (states/eV/cell),calculated volume (Å³/atom)
1,6.59,17.62
2,2.35,21.73